Computed, not measured: a geometry-optimized Ce3Al8Ag structure at the PBE-GGA level of DFT.

Cell and atoms, written as POSCAR:
```
Ce3Al8Ag
1.0
2.785 1.608 9.066
-2.785 1.608 9.066
0.000 -3.215 9.066
Ce Al Ag
3 8 1
direct
0.000 0.000 0.000
0.130 0.130 0.130
0.622 0.622 0.622
0.063 0.565 0.565
0.064 0.064 0.566
0.064 0.566 0.064
0.314 0.314 0.314
0.565 0.063 0.565
0.565 0.565 0.063
0.566 0.064 0.064
0.814 0.814 0.814
0.496 0.496 0.496
```

E: -54.3 eV/cell
Total magnetic moment: 2.17 μB per cell
Energy of formation from the pure elements: -3.718 eV/f.u.
Calculated density: 5.1 Mg/m³